Entry 1:
DyHo2ErMg2, optimized geometry, DFT PBE; symmetry = No. 38; energy = -3.6259 eV/atom; spin magnetization = 0.0 μB/cell
1.0
-0.089 4.717 2.707
1.683 -4.256 7.473
5.031 -3.499 6.264
Dy Er Ho Mg
1 1 2 2
direct
0.000 0.094 0.094
0.500 0.906 0.906
0.500 0.226 0.226
0.000 0.774 0.774
0.000 0.435 0.435
0.500 0.565 0.565

=====

Entry 2:
Fe2Re2Si3, optimized geometry, DFT PBE; symmetry = No. 160; energy = -8.2718 eV/atom; spin magnetization = 2.4 μB/cell
1.0
4.070 -0.362 5.607
1.391 -3.348 5.915
4.616 -3.775 3.546
Fe Re Si
2 2 3
direct
0.254 0.254 0.254
0.752 0.752 0.752
0.005 0.005 0.005
0.495 0.495 0.495
0.373 0.373 0.373
0.621 0.621 0.621
0.875 0.875 0.875

=====

Entry 3:
LiGa2Ni, optimized geometry, DFT PBE; symmetry = No. 59; energy above the most stable polymorph in this dataset = 0.001 eV per formula unit; spin magnetization = 0.0 μB/cell
1.0
5.889 0.000 0.000
0.000 4.179 0.000
0.000 0.000 8.349
Ga Li Ni
8 4 4
direct
0.500 0.750 0.126
0.000 0.750 0.126
0.500 0.250 0.374
0.000 0.250 0.374
0.000 0.750 0.626
0.500 0.750 0.626
0.000 0.250 0.874
0.500 0.250 0.874
0.250 0.250 0.123
0.750 0.750 0.377
0.250 0.250 0.623
0.750 0.750 0.877
0.750 0.250 0.124
0.250 0.750 0.376
0.750 0.250 0.624
0.250 0.750 0.876